(1)
Here is an optimized crystal structure of SiAsW from the Alexandria database. Energies are from GGA-PBE.

Summary:
Density = 10.13 g/cm3
Space group = No. 129
Crystal system = tetragonal
Formation energy (no corrections) = -0.24 eV per formula unit
Calculated volume = 15.68 A^3/atom

Lattice parameters (Å, degrees): 3.4860 3.4860 7.7407 90.00 90.00 90.00
Closest atoms and distances in Å follow each position.
Element x y z (fractional)
As: 0.0000 0.5000 0.3866  5 W 2.70-2.86
W: 0.5000 0.0000 0.2439  4 Si 2.57, 5 As 2.70-2.86
Si: 0.0000 0.0000 0.0000  4 Si 2.46, 4 W 2.57
W: 0.0000 0.5000 0.7561  4 Si 2.57, 5 As 2.70-2.86
Si: 0.5000 0.5000 0.0000  4 Si 2.46, 4 W 2.57
As: 0.5000 0.0000 0.6134  5 W 2.70-2.86


(2)
Here is an optimized crystal structure of Li2NpPaO6 from the Alexandria database. Energies are from GGA-PBE.

Summary:
Density = 7.27 g/cm3
Space group = No. 146
Crystal system = trigonal
Formation energy (no corrections) = -29.12 eV per formula unit
Calculated volume = 13.20 A^3/atom

Lattice parameters (Å, degrees): 5.4589 5.4594 6.0076 62.98 62.97 59.99
Closest atoms and distances in Å follow each position.
Element x y z (fractional)
Np: 0.3161 0.3161 0.0518  6 O 2.15
Li: 0.5989 0.5990 0.2031  3 O 2.00
O: 0.4230 0.7059 0.8161  1 Li 2.00, 1 Np 2.15, 1 Pa 2.19
Li: 0.0341 0.0340 0.8981  3 O 2.00
O: 0.9263 0.5767 0.2874  1 Li 2.00, 1 Np 2.15, 1 Pa 2.20
O: 0.0551 0.4229 0.8161  1 Li 2.00, 1 Np 2.15, 1 Pa 2.20
Pa: 0.8162 0.8162 0.5515  6 O 2.19-2.20
O: 0.2094 0.9262 0.2873  1 Li 2.00, 1 Np 2.15, 1 Pa 2.19
O: 0.5768 0.2095 0.2875  1 Li 2.00, 1 Np 2.15, 1 Pa 2.19
O: 0.7059 0.0550 0.8164  1 Li 2.00, 1 Np 2.15, 1 Pa 2.20


(3)
Here is an optimized crystal structure of Ho2CBr3 from the Alexandria database. Energies are from GGA-PBE.

Summary:
Density = 5.36 g/cm3
Space group = No. 12
Crystal system = monoclinic
Formation energy (no corrections) = -7.72 eV per formula unit
Calculated volume = 30.04 A^3/atom

Lattice parameters (Å, degrees): 3.8743 10.8662 9.0564 77.83 77.65 79.73
Closest atoms and distances in Å follow each position.
Element x y z (fractional)
Br: 0.0470 0.1397 0.7664  2 Ho 2.81
C: 0.5376 0.5094 0.4153  1 C 1.48
Br: 0.3370 0.3666 0.9595  3 Ho 2.95-3.13
C: 0.4624 0.4906 0.5847  1 C 1.48
Ho: 0.1277 0.4888 0.2559  2 C 2.43
Br: 0.2102 0.2232 0.3564  3 Ho 2.82-2.88
Ho: 0.8723 0.5112 0.7441  2 C 2.43
Ho: 0.5725 0.2786 0.5764  1 C 2.28
Br: 0.7898 0.7768 0.6436  3 Ho 2.82-2.88
Ho: 0.4275 0.7214 0.4236  1 C 2.28
Br: 0.6630 0.6334 0.0405  3 Ho 2.95-3.13
Br: 0.9530 0.8603 0.2336  2 Ho 2.81